Record 1
Tb2HoCu4Si2Sn2 (PBE-GGA, relaxed); density = 8.3 g/cm3; energy above the lowest structure with this stoichiometry = 73 meV per atom
1.0
-2.1246 3.4193 7.1280
2.1246 -3.4193 7.1280
2.1246 3.4193 -7.1280
Sn Tb Cu Si Ho
2 2 4 2 1
direct
0.2961 0.5000 0.7961 Sn
0.7039 0.5000 0.2039 Sn
0.3649 0.8649 0.5000 Tb
0.6351 0.1351 0.5000 Tb
0.9919 0.6812 0.3107 Cu
0.0081 0.3188 0.6893 Cu
0.3706 0.6812 0.6893 Cu
0.6294 0.3188 0.3107 Cu
0.2153 0.2153 0.0000 Si
0.7847 0.7847 0.0000 Si
0.0000 0.0000 0.0000 Ho

Record 2
YSnAu2 (PBE-GGA, relaxed); density = 11.0 g/cm3; raw total energy = -4.8454 eV per atom
1.0
-4.3745 -3.5911 -2.4974
4.4800 -1.7769 -5.2921
2.6950 -6.3530 4.4145
Sn Au Y
4 8 4
direct
0.8342 0.7500 0.4288 Sn
0.1658 0.2500 0.5712 Sn
0.3342 0.2500 0.0712 Sn
0.6658 0.7500 0.9288 Sn
0.5565 0.9610 0.2234 Au
0.4435 0.4610 0.7766 Au
0.4435 0.0390 0.7766 Au
0.0565 0.4610 0.2766 Au
0.5565 0.5390 0.2234 Au
0.9435 0.9610 0.7234 Au
0.9435 0.5390 0.7234 Au
0.0565 0.0390 0.2766 Au
0.3344 0.7500 0.5250 Y
0.8344 0.2500 0.9750 Y
0.6656 0.2500 0.4750 Y
0.1656 0.7500 0.0250 Y

Record 3
TbHfGa (PBE-GGA, relaxed); density = 9.0 g/cm3; energy above the lowest structure with this stoichiometry = 0 meV per atom
1.0
0.0000 3.3498 3.3498
3.3498 0.0000 3.3498
3.3498 3.3498 0.0000
Tb Hf Ga
1 1 1
direct
0.7500 0.7500 0.7500 Tb
0.2500 0.2500 0.2500 Hf
0.0000 0.0000 0.0000 Ga